Material: ScTaNiPb
Method: DFT, PBE-GGA
State: relaxed

Unit cell a=6.7194 b=6.7194 c=6.7194 alpha=90.00 beta=90.00 gamma=90.00
Space group F-43m (No. 216)
One atom of each set of equivalent atoms:
Sc 0.0000 0.0000 0.0000 [4 per cell]
Ta 0.2500 0.2500 0.7500 [4 per cell]
Ni 0.0000 0.0000 0.5000 [4 per cell]
Pb 0.2500 0.2500 0.2500 [4 per cell]

Properties
- Total DFT energy (no corrections): -6.444 eV/atom